## 1
# Tl7In2Hg, optimized geometry, DFT PBE-GGA
# Calculated density in Mg/m³: 10.11
# Calculated volume in Å³ per cell: 611.45
# Total moment in μB per atom: 0.000
data_Tl7In2Hg
_chemical_formula_sum 'Tl14 In4 Hg2'
_cell_length_a 6.372
_cell_length_b 28.905
_cell_length_c 3.320
_cell_angle_alpha 90.00
_cell_angle_beta 90.00
_cell_angle_gamma 90.00
_symmetry_space_group_name_H-M 'C m m m'
_symmetry_Int_Tables_number 65
_symmetry_space_group_name_Hall '-C 2 2'
loop_
_atom_site_label
_atom_site_type_symbol
_atom_site_fract_x
_atom_site_fract_y
_atom_site_fract_z
_atom_site_occupancy
Tl1 Tl 0.000 0.000 0.000 1
Tl2 Tl 0.000 0.301 0.500 1
Tl3 Tl 0.245 0.399 0.000 1
In1 In 0.000 0.201 0.000 1
Hg1 Hg 0.000 0.500 0.500 1

=====

## 2
# Tl7In2Hg, optimized geometry, DFT PBE-GGA
# Calculated density in Mg/m³: 8.35
# Calculated volume in Å³ per cell: 739.89
# Total moment in μB per atom: 0.000
data_Tl7In2Hg
_chemical_formula_sum 'Tl14 In4 Hg2'
_cell_length_a 9.113
_cell_length_b 15.726
_cell_length_c 5.163
_cell_angle_alpha 90.00
_cell_angle_beta 90.00
_cell_angle_gamma 90.00
_symmetry_space_group_name_H-M 'C m m m'
_symmetry_Int_Tables_number 65
_symmetry_space_group_name_Hall '-C 2 2'
loop_
_atom_site_label
_atom_site_type_symbol
_atom_site_fract_x
_atom_site_fract_y
_atom_site_fract_z
_atom_site_occupancy
Tl1 Tl 0.000 0.000 0.000 1
Tl2 Tl 0.000 0.298 0.500 1
Tl3 Tl 0.188 0.393 0.000 1
In1 In 0.000 0.202 0.000 1
Hg1 Hg 0.000 0.500 0.500 1

=====

The winner here is 1, beating the second structure by 0.124 eV/atom.